No. 1
{"formula": "BaLiBiPd", "functional": "PBE-GGA", "state": "relaxed", "cell": [[1.2674, -2.9771, 4.0815], [-3.5947, -3.0494, 2.2152], [0.2834, -5.1728, -0.5378]], "species": ["Li", "Bi", "Ba", "Pd"], "fractional_positions": [[0.7500, 0.7500, 0.7500], [0.0000, 0.0000, 0.0000], [0.5000, 0.5000, 0.5000], [0.2500, 0.2500, 0.2500]], "relative_energy_ev_per_fu": 0.000, "rho_g_cm3": 7.6, "spacegroup": "F-43m (216)"}

No. 2
{"formula": "SrMoIr", "functional": "PBE-GGA", "state": "relaxed", "cell": [[0.0000, 3.2685, 3.2685], [3.2685, 0.0000, 3.2685], [3.2685, 3.2685, 0.0000]], "species": ["Mo", "Sr", "Ir"], "fractional_positions": [[0.2500, 0.2500, 0.2500], [0.7500, 0.7500, 0.7500], [0.0000, 0.0000, 0.0000]], "relative_energy_ev_per_fu": 0.000, "rho_g_cm3": 8.9, "spacegroup": "F-43m (216)"}

No. 3
{"formula": "HoHICl", "functional": "PBE-GGA", "state": "relaxed", "cell": [[3.8480, 0.0000, 0.0000], [-1.9240, 3.3325, 0.0000], [0.0000, 0.0000, 15.0824]], "species": ["Ho", "Ho", "I", "I", "Cl", "Cl", "H", "H"], "fractional_positions": [[0.6667, 0.3333, 0.5000], [0.6667, 0.3333, 0.0000], [0.0000, 0.0000, 0.8578], [0.0000, 0.0000, 0.1422], [0.3333, 0.6667, 0.6132], [0.3333, 0.6667, 0.3868], [0.0000, 0.0000, 0.5000], [0.3333, 0.6667, 0.0000]], "relative_energy_ev_per_fu": 0.016, "rho_g_cm3": 5.6, "spacegroup": "P-6m2 (187)"}

No. 4
{"formula": "AlReAgH6", "functional": "PBE-GGA", "state": "relaxed", "cell": [[-1.6083, 0.0946, 4.2202], [-4.3777, -0.8076, 0.7674], [-1.2688, -3.8360, 2.0200]], "species": ["H", "H", "H", "H", "H", "H", "Re", "Al", "Ag"], "fractional_positions": [[0.4516, 0.0484, 0.0484], [0.4516, 0.0484, 0.4516], [0.0484, 0.4516, 0.4516], [0.4516, 0.4516, 0.0484], [0.0484, 0.0484, 0.4516], [0.0484, 0.4516, 0.0484], [0.5000, 0.5000, 0.5000], [0.0000, 0.0000, 0.0000], [0.7500, 0.7500, 0.7500]], "e_tot_ev_per_atom": -3.5048, "rho_g_cm3": 8.3, "spacegroup": "F-43m (216)"}

No. 5
{"formula": "SrGePd", "functional": "PBE-GGA", "state": "relaxed", "cell": [[-0.9748, -2.3710, 4.2363], [-1.8283, 2.4925, 3.8682], [-4.6912, -0.7163, 1.4135]], "species": ["Sr", "Ge", "Pd"], "fractional_positions": [[0.0000, 0.0000, 0.0000], [0.2500, 0.2500, 0.2500], [0.7500, 0.7500, 0.7500]], "e_tot_ev_per_atom": -3.5508, "rho_g_cm3": 5.2, "spacegroup": "F-43m (216)"}

No. 6
{"formula": "GdHo2Al3Si2Pt", "functional": "PBE-GGA", "state": "relaxed", "cell": [[-2.7996, 3.1446, 0.3421], [-5.1606, -4.4791, -1.0605], [2.2136, 1.2716, 6.4266]], "species": ["Al", "Al", "Al", "Pt", "Gd", "Si", "Si", "Ho", "Ho"], "fractional_positions": [[0.5000, 0.2369, 0.9991], [0.5000, 0.7635, 0.7635], [0.5000, 0.9991, 0.2369], [0.0000, 0.9966, 0.9966], [0.0000, 0.4180, 0.4180], [0.5000, 0.6691, 0.3325], [0.5000, 0.3325, 0.6691], [0.0000, 0.5836, 0.0007], [0.0000, 0.0007, 0.5836]], "e_tot_ev_per_atom": -5.5371, "rho_g_cm3": 7.8, "spacegroup": "Amm2 (38)"}

No. 7
{"formula": "InCuNiTe3", "functional": "PBE-GGA", "state": "relaxed", "cell": [[-6.7749, 0.5131, 3.0606], [-6.0546, -3.2724, 2.8571], [4.2798, 0.3078, 9.4220]], "species": ["Te", "Te", "Te", "Te", "Te", "Te", "In", "In", "Cu", "Cu", "Ni", "Ni"], "fractional_positions": [[0.3772, 0.3772, 0.4671], [0.3772, 0.3772, 0.0329], [0.9186, 0.9186, 0.7500], [0.6228, 0.6228, 0.5329], [0.0814, 0.0814, 0.2500], [0.6228, 0.6228, 0.9671], [0.7746, 0.7746, 0.2500], [0.2254, 0.2254, 0.7500], [0.4640, 0.4640, 0.2500], [0.5360, 0.5360, 0.7500], [0.0000, 0.0000, 0.0000], [0.0000, 0.0000, 0.5000]], "e_tot_ev_per_atom": -3.6322, "rho_g_cm3": 7.2, "spacegroup": "Cmcm (63)"}

No. 8
{"formula": "LuAlAu2", "functional": "PBE-GGA", "state": "relaxed", "cell": [[1.0452, 0.9325, 4.5412], [-2.5278, 3.2258, 2.4060], [-2.9553, -1.3901, 3.4522]], "species": ["Au", "Au", "Al", "Lu"], "fractional_positions": [[0.0000, 0.0000, 0.0000], [0.7500, 0.7500, 0.7500], [0.5000, 0.5000, 0.5000], [0.2500, 0.2500, 0.2500]], "e_tot_ev_per_atom": -4.1939, "rho_g_cm3": 13.0, "spacegroup": "F-43m (216)"}